Density functional theory data (PBE-GGA) for a relaxed PmZr2TeO8 crystal.

SG: Cmmm (65)
VASP energy: -7.98 eV per atom
DOS at the Fermi energy: 0.31 states/eV/atom

Cell lengths 5.003, 5.000, 6.763 Å; angles 90.00, 90.00, 89.14 degrees
Atoms (fractional coordinates):
1 Zr 0.500 0.500 0.250
2 Zr 0.500 0.500 0.750
3 O 0.801 0.200 0.223
4 O 0.199 0.800 0.777
5 O 0.200 0.800 0.223
6 O 0.300 0.299 0.000
7 O 0.700 0.701 0.000
8 Pm 0.000 0.000 0.500
9 O 0.678 0.678 0.500
10 O 0.800 0.200 0.777
11 O 0.322 0.322 0.500
12 Te 0.000 0.000 0.000